# 1
A plane-wave DFT calculation with GGA-PBE was carried out for Ac2InO after structural relaxation.

Computed properties:
* relative energy among the computed polymorphs: 0.570 eV/atom
* uncorrected formation energy: -1.034 eV per atom

Cell: 3.472 3.472 8.406 Å, 90.00 90.00 90.00°
Sites, in units of the cell vectors:
Ac: 0.000 0.000 0.798
Ac: 0.000 0.000 0.202
O: 0.500 0.500 0.000
In: 0.500 0.500 0.500


# 2
A plane-wave DFT calculation with GGA-PBE was carried out for NbPtPb2 after structural relaxation.

Computed properties:
* relative energy among the computed polymorphs: 0.097 eV/atom
* ΔH_f (0 K): 475 meV/atom

Cell: 7.748 7.748 6.287 Å, 51.96 51.96 90.00°
Sites, in units of the cell vectors:
Pb: 0.648 0.125 0.250
Pb: 0.102 0.625 0.250
Pb: 0.375 0.352 0.750
Pb: 0.875 0.898 0.750
Nb: 0.500 0.500 0.000
Nb: 0.250 0.750 0.500
Pt: 0.000 0.000 0.000
Pt: 0.750 0.250 0.500


# 3
A plane-wave DFT calculation with GGA-PBE was carried out for HfGaTc after structural relaxation.

Computed properties:
* relative energy among the computed polymorphs: 0.000 eV/atom
* ΔH_f (0 K): -461 meV/atom

Cell: 6.850 3.349 4.608 Å, 90.02 84.12 75.86°
Sites, in units of the cell vectors:
Hf: 0.846 0.724 0.503
Hf: 0.182 0.556 0.951
Tc: 0.834 0.230 0.010
Tc: 0.193 0.050 0.443
Ga: 0.497 0.398 0.454
Ga: 0.530 0.881 0.999


# 4
A plane-wave DFT calculation with GGA-PBE was carried out for CsTlO after structural relaxation.

Computed properties:
* uncorrected formation energy: -0.813 eV per atom

Cell: 4.524 5.709 9.215 Å, 90.00 104.21 90.00°
Sites, in units of the cell vectors:
Cs: 0.318 0.411 0.636
Cs: 0.682 0.911 0.364
Tl: 0.058 0.388 0.116
Tl: 0.942 0.888 0.884
O: 0.166 0.242 0.331
O: 0.834 0.742 0.669